# PBE SrRhCl2, optimized geometry
data_SrRhCl2
_chemical_formula_sum 'Sr4 Rh4 Cl8'
_space_group_name_H-M_alt 'I -4 2 d'
_space_group_IT_number 122
_space_group_name_Hall 'I -4 2bw'
_cell_length_a 5.011
_cell_length_b 5.011
_cell_length_c 16.123
_cell_angle_alpha 90.00
_cell_angle_beta 90.00
_cell_angle_gamma 90.00
loop_
_atom_site_label
_atom_site_fract_x
_atom_site_fract_y
_atom_site_fract_z
Sr1 0.000 0.000 0.000
Rh1 0.000 0.000 0.500
Cl1 0.192 0.250 0.625
# E (eV per atom): -4.08
# Offset from the most stable computed form (eV/atom): 0.122
# Total moment (μB per cell): 4.00
# E_form (uncorrected) (eV per atom): -0.90